Material: Sr3Mo2N4
Method: DFT, PBE
State: relaxed

Calculated values
The volume comes out at 16.7 Å³/atom. For the uncorrected formation energy, the calculation gives -10.887 kcal/mol of atoms.

Cell: 11.730 8.934 5.743 Å, 90.00 91.64 90.00°
Space group C2/c (No. 15)
Asymmetric unit:
1 Sr 0.000 0.103 0.250 (multiplicity 4)
2 Sr 0.117 0.368 0.530 (multiplicity 8)
3 Mo 0.202 0.126 0.911 (multiplicity 8)
4 N 0.127 0.327 0.015 (multiplicity 8)
5 N 0.169 0.065 0.586 (multiplicity 8)